# SiHgMo, optimized geometry, DFT PBE-GGA
# * E_tot: -5.45 eV per atom
# * relative energy among the computed polymorphs: 4.9 kJ/mol of atoms
# * crystal system: monoclinic
# * ΔE_f (raw): 0.0723 eV/atom
# * spin magnetization: 0.000 μB/cell
data_SiHgMo
_symmetry_space_group_name_H-M 'P 1 21/m 1'
_symmetry_Int_Tables_number 11
_cell_length_a 4.3516
_cell_length_b 2.7821
_cell_length_c 10.2670
_cell_angle_alpha 90.00
_cell_angle_beta 94.47
_cell_angle_gamma 90.00
loop_
_symmetry_equiv_pos_as_xyz
'x,y,z'
'-x,-y,-z'
'-x,y+1/2,-z'
'x,-y+1/2,z'
loop_
_atom_site_label
_atom_site_type_symbol
_atom_site_fract_x
_atom_site_fract_y
_atom_site_fract_z
Si1 Si 0.0946 0.2500 0.3994
Hg1 Hg 0.4654 0.7500 0.8710
Mo1 Mo 0.4070 0.2500 0.6234

# HfRe2Os, optimized geometry, DFT PBE-GGA
# * E_tot: -11.38 eV per atom
# * relative energy among the computed polymorphs: 0.0 kJ/mol of atoms
# * energy relative to the elements: 0.14 eV/atom
# * crystal system: cubic
# * spin magnetization: 0.000 μB/cell
data_HfRe2Os
_symmetry_space_group_name_H-M 'F m -3 m'
_symmetry_Int_Tables_number 225
_symmetry_space_group_name_Hall '-F 4 2 3'
_cell_length_a 6.3553
_cell_length_b 6.3553
_cell_length_c 6.3553
_cell_angle_alpha 90.00
_cell_angle_beta 90.00
_cell_angle_gamma 90.00
loop_
_atom_site_label
_atom_site_type_symbol
_atom_site_fract_x
_atom_site_fract_y
_atom_site_fract_z
Hf1 Hf 0.0000 0.0000 0.0000
Re1 Re 0.2500 0.2500 0.2500
Os1 Os 0.0000 0.0000 0.5000

# Mo2AuIBr, optimized geometry, DFT PBE-GGA
# * E_tot: -3.67 eV per atom
# * crystal system: tetragonal
# * ΔE_f (raw): 1.9674 eV/atom
# * spin magnetization: 5.765 μB/cell
data_Mo2AuIBr
_symmetry_space_group_name_H-M 'P 4/m m m'
_symmetry_Int_Tables_number 123
_symmetry_space_group_name_Hall '-P 4 2'
_cell_length_a 5.1612
_cell_length_b 5.1612
_cell_length_c 5.7169
_cell_angle_alpha 90.00
_cell_angle_beta 90.00
_cell_angle_gamma 90.00
loop_
_atom_site_label
_atom_site_type_symbol
_atom_site_fract_x
_atom_site_fract_y
_atom_site_fract_z
Mo1 Mo 0.0000 0.5000 0.0000
Au1 Au 0.0000 0.0000 0.5000
I1 I 0.5000 0.5000 0.0000
Br1 Br 0.5000 0.5000 0.5000

# ZnCdBr, optimized geometry, DFT PBE-GGA
# * E_tot: -1.49 eV per atom
# * relative energy among the computed polymorphs: 0.0 kJ/mol of atoms
# * crystal system: trigonal
# * ΔE_f (raw): -0.1993 eV/atom
# * spin magnetization: 0.000 μB/cell
data_ZnCdBr
_symmetry_space_group_name_H-M 'P 3 m 1'
_symmetry_Int_Tables_number 156
_cell_length_a 3.9337
_cell_length_b 3.9337
_cell_length_c 5.6089
_cell_angle_alpha 90.00
_cell_angle_beta 90.00
_cell_angle_gamma 120.00
loop_
_symmetry_equiv_pos_as_xyz
'x,y,z'
'-y,x-y,z'
'-x+y,-x,z'
'-y,-x,z'
'-x+y,y,z'
'x,x-y,z'
loop_
_atom_site_label
_atom_site_type_symbol
_atom_site_fract_x
_atom_site_fract_y
_atom_site_fract_z
Zn1 Zn 0.0000 0.0000 0.0000
Cd1 Cd 0.3333 0.6667 0.7221
Br1 Br 0.6667 0.3333 0.3276

# Dy5ErZn4, optimized geometry, DFT PBE-GGA
# * E_tot: -3.53 eV per atom
# * energy relative to the elements: -0.27 eV/atom
# * crystal system: tetragonal
# * spin magnetization: 0.000 μB/cell
data_Dy5ErZn4
_symmetry_space_group_name_H-M 'P 4/m m m'
_symmetry_Int_Tables_number 123
_symmetry_space_group_name_Hall '-P 4 2'
_cell_length_a 3.5617
_cell_length_b 3.5617
_cell_length_c 19.2712
_cell_angle_alpha 90.00
_cell_angle_beta 90.00
_cell_angle_gamma 90.00
loop_
_atom_site_label
_atom_site_type_symbol
_atom_site_fract_x
_atom_site_fract_y
_atom_site_fract_z
Dy1 Dy 0.0000 0.0000 0.0000
Dy2 Dy 0.0000 0.0000 0.1844
Dy3 Dy 0.0000 0.0000 0.3694
Er1 Er 0.5000 0.5000 0.5000
Zn1 Zn 0.5000 0.5000 0.0933
Zn2 Zn 0.5000 0.5000 0.2771

# PRuW2, optimized geometry, DFT PBE-GGA
# * E_tot: -10.19 eV per atom
# * energy relative to the elements: -0.04 eV/atom
# * crystal system: orthorhombic
# * spin magnetization: 0.000 μB/cell
data_PRuW2
_symmetry_space_group_name_H-M 'A m m 2'
_symmetry_Int_Tables_number 38
_cell_length_a 3.7355
_cell_length_b 2.9220
_cell_length_c 10.7494
_cell_angle_alpha 90.00
_cell_angle_beta 90.00
_cell_angle_gamma 90.00
loop_
_symmetry_equiv_pos_as_xyz
'x,y,z'
'-x,-y,z'
'-x,y,z'
'x,-y,z'
'x,y+1/2,z+1/2'
'-x,-y+1/2,z+1/2'
'-x,y+1/2,z+1/2'
'x,-y+1/2,z+1/2'
loop_
_atom_site_label
_atom_site_type_symbol
_atom_site_fract_x
_atom_site_fract_y
_atom_site_fract_z
P1 P 0.0000 0.0000 0.0000
Ru1 Ru 0.5000 0.0000 0.1347
W1 W 0.0000 0.0000 0.7613
W2 W 0.5000 0.0000 0.4084

# K2CrFe, optimized geometry, DFT PBE-GGA
# * E_tot: -4.25 eV per atom
# * relative energy among the computed polymorphs: 2.9 kJ/mol of atoms
# * energy relative to the elements: 0.82 eV/atom
# * crystal system: monoclinic
# * spin magnetization: 3.262 μB/cell
data_K2CrFe
_symmetry_space_group_name_H-M 'C 1 m 1'
_symmetry_Int_Tables_number 8
_cell_length_a 7.1881
_cell_length_b 4.1406
_cell_length_c 9.7791
_cell_angle_alpha 90.00
_cell_angle_beta 103.21
_cell_angle_gamma 90.00
loop_
_symmetry_equiv_pos_as_xyz
'x,y,z'
'x,-y,z'
'x+1/2,y+1/2,z'
'x+1/2,-y+1/2,z'
loop_
_atom_site_label
_atom_site_type_symbol
_atom_site_fract_x
_atom_site_fract_y
_atom_site_fract_z
K1 K 0.0000 0.0000 0.0000
K2 K 0.1730 0.0000 0.5569
Cr1 Cr 0.4201 0.0000 0.2785
Fe1 Fe 0.2532 0.5000 0.2783

# CaCuPt, optimized geometry, DFT PBE-GGA
# * E_tot: -4.43 eV per atom
# * relative energy among the computed polymorphs: 27.9 kJ/mol of atoms
# * energy relative to the elements: -0.38 eV/atom
# * crystal system: tetragonal
# * spin magnetization: 0.000 μB/cell
data_CaCuPt
_symmetry_space_group_name_H-M 'I 4 m m'
_symmetry_Int_Tables_number 107
_symmetry_space_group_name_Hall 'I 4 -2'
_cell_length_a 3.4710
_cell_length_b 3.4710
_cell_length_c 9.6030
_cell_angle_alpha 90.00
_cell_angle_beta 90.00
_cell_angle_gamma 90.00
loop_
_atom_site_label
_atom_site_type_symbol
_atom_site_fract_x
_atom_site_fract_y
_atom_site_fract_z
Ca1 Ca 0.0000 0.0000 0.0000
Cu1 Cu 0.0000 0.0000 0.7087
Pt1 Pt 0.0000 0.0000 0.3048

# In2TcTe, optimized geometry, DFT PBE-GGA
# * E_tot: -4.22 eV per atom
# * crystal system: tetragonal
# * ΔE_f (raw): 0.5267 eV/atom
# * spin magnetization: 0.000 μB/cell
data_In2TcTe
_symmetry_space_group_name_H-M 'I -4 m 2'
_symmetry_Int_Tables_number 119
_symmetry_space_group_name_Hall 'I -4 -2'
_cell_length_a 4.5373
_cell_length_b 4.5373
_cell_length_c 8.3783
_cell_angle_alpha 90.00
_cell_angle_beta 90.00
_cell_angle_gamma 90.00
loop_
_atom_site_label
_atom_site_type_symbol
_atom_site_fract_x
_atom_site_fract_y
_atom_site_fract_z
In1 In 0.0000 0.0000 0.0000
In2 In 0.0000 0.5000 0.2500
Tc1 Tc 0.0000 0.5000 0.7500
Te1 Te 0.0000 0.0000 0.5000

# MnNiBr2, optimized geometry, DFT PBE-GGA
# * E_tot: -3.92 eV per atom
# * relative energy among the computed polymorphs: 83.5 kJ/mol of atoms
# * crystal system: cubic
# * ΔE_f (raw): 0.6560 eV/atom
# * spin magnetization: 20.652 μB/cell
data_MnNiBr2
_symmetry_space_group_name_H-M 'F -4 3 m'
_symmetry_Int_Tables_number 216
_symmetry_space_group_name_Hall 'F -4 2 3'
_cell_length_a 6.8141
_cell_length_b 6.8141
_cell_length_c 6.8141
_cell_angle_alpha 90.00
_cell_angle_beta 90.00
_cell_angle_gamma 90.00
loop_
_atom_site_label
_atom_site_type_symbol
_atom_site_fract_x
_atom_site_fract_y
_atom_site_fract_z
Mn1 Mn 0.0000 0.0000 0.0000
Ni1 Ni 0.2500 0.2500 0.2500
Br1 Br 0.0000 0.0000 0.5000
Br2 Br 0.2500 0.2500 0.7500

# MgSiF2, optimized geometry, DFT PBE-GGA
# * E_tot: -3.71 eV per atom
# * relative energy among the computed polymorphs: 110.9 kJ/mol of atoms
# * crystal system: cubic
# * ΔE_f (raw): -1.0154 eV/atom
# * spin magnetization: 0.000 μB/cell
data_MgSiF2
_symmetry_space_group_name_H-M 'F m -3 m'
_symmetry_Int_Tables_number 225
_symmetry_space_group_name_Hall '-F 4 2 3'
_cell_length_a 6.1113
_cell_length_b 6.1113
_cell_length_c 6.1113
_cell_angle_alpha 90.00
_cell_angle_beta 90.00
_cell_angle_gamma 90.00
loop_
_atom_site_label
_atom_site_type_symbol
_atom_site_fract_x
_atom_site_fract_y
_atom_site_fract_z
Mg1 Mg 0.0000 0.0000 0.0000
Si1 Si 0.0000 0.0000 0.5000
F1 F 0.2500 0.2500 0.2500

# TaRh3Br, optimized geometry, DFT PBE-GGA
# * E_tot: -5.91 eV per atom
# * relative energy among the computed polymorphs: 17.7 kJ/mol of atoms
# * crystal system: cubic
# * ΔE_f (raw): 1.2103 eV/atom
# * spin magnetization: 0.000 μB/cell
data_TaRh3Br
_symmetry_space_group_name_H-M 'P m -3 m'
_symmetry_Int_Tables_number 221
_symmetry_space_group_name_Hall '-P 4 2 3'
_cell_length_a 4.5454
_cell_length_b 4.5454
_cell_length_c 4.5454
_cell_angle_alpha 90.00
_cell_angle_beta 90.00
_cell_angle_gamma 90.00
loop_
_atom_site_label
_atom_site_type_symbol
_atom_site_fract_x
_atom_site_fract_y
_atom_site_fract_z
Ta1 Ta 0.0000 0.0000 0.0000
Rh1 Rh 0.0000 0.5000 0.5000
Br1 Br 0.5000 0.5000 0.5000

# Dy2Cu3Au, optimized geometry, DFT PBE-GGA
# * E_tot: -4.51 eV per atom
# * relative energy among the computed polymorphs: 3.2 kJ/mol of atoms
# * energy relative to the elements: -0.38 eV/atom
# * crystal system: orthorhombic
# * spin magnetization: 0.000 μB/cell
data_Dy2Cu3Au
_symmetry_space_group_name_H-M 'I m m 2'
_symmetry_Int_Tables_number 44
_cell_length_a 3.8360
_cell_length_b 3.8714
_cell_length_c 16.0480
_cell_angle_alpha 90.00
_cell_angle_beta 90.00
_cell_angle_gamma 90.00
loop_
_symmetry_equiv_pos_as_xyz
'x,y,z'
'-x,-y,z'
'-x,y,z'
'x,-y,z'
'x+1/2,y+1/2,z+1/2'
'-x+1/2,-y+1/2,z+1/2'
'-x+1/2,y+1/2,z+1/2'
'x+1/2,-y+1/2,z+1/2'
loop_
_atom_site_label
_atom_site_type_symbol
_atom_site_fract_x
_atom_site_fract_y
_atom_site_fract_z
Dy1 Dy 0.0000 0.0000 0.0000
Dy2 Dy 0.0000 0.5000 0.2620
Cu1 Cu 0.0000 0.0000 0.4222
Cu2 Cu 0.0000 0.5000 0.6866
Cu3 Cu 0.0000 0.5000 0.8366
Au1 Au 0.0000 0.0000 0.5845